1.
VASP calculation (PBE) on ErGa12Ni4 after structural relaxation.

Lattice parameters (Å, degrees): 7.3886 7.3886 7.3886 109.47 109.47 109.47
Sites, in units of the cell vectors:
Er1 0.0000 0.0000 0.0000
Ga1 0.1673 0.8309 0.3365
Ga2 0.1691 0.3365 0.5056
Ga3 0.1691 0.6635 0.8327
Ga4 0.3365 0.1673 0.8309
Ga5 0.3365 0.5056 0.1691
Ga6 0.4944 0.8309 0.6635
Ga7 0.5056 0.1691 0.3365
Ga8 0.6635 0.4944 0.8309
Ga9 0.6635 0.8327 0.1691
Ga10 0.8309 0.3365 0.1673
Ga11 0.8309 0.6635 0.4944
Ga12 0.8327 0.1691 0.6635
Ni1 0.0000 0.0000 0.5000
Ni2 0.0000 0.5000 0.0000
Ni3 0.5000 0.0000 0.0000
Ni4 0.5000 0.5000 0.5000

The calculation puts the energy relative to the elements at -0.13 eV per atom. Its crystal system is cubic.

---

2.
VASP calculation (PBE) on LaTlW2 after structural relaxation.

Lattice parameters (Å, degrees): 3.2426 3.2426 29.5915 90.00 90.00 120.00
Sites, in units of the cell vectors:
La1 0.0000 0.0000 0.0000
La2 0.3333 0.6667 0.6667
La3 0.6667 0.3333 0.3333
Tl1 0.0000 0.0000 0.7673
Tl2 0.3333 0.6667 0.4340
Tl3 0.6667 0.3333 0.1006
W1 0.0000 0.0000 0.2457
W2 0.0000 0.0000 0.5191
W3 0.3333 0.6667 0.1858
W4 0.3333 0.6667 0.9124
W5 0.6667 0.3333 0.5791
W6 0.6667 0.3333 0.8524

The calculation puts the energy relative to the elements at 0.58 eV per atom. Its crystal system is trigonal. For the energy above the most stable polymorph in this dataset, the calculation gives 0.2441 eV per atom.

---

3.
VASP calculation (PBE) on ZrTlPt2 after structural relaxation.

Lattice parameters (Å, degrees): 3.7533 3.7533 21.5167 90.00 90.00 120.00
Sites, in units of the cell vectors:
Zr1 0.0000 0.0000 0.0000
Zr2 0.3333 0.6667 0.6667
Zr3 0.6667 0.3333 0.3333
Tl1 0.0000 0.0000 0.5000
Tl2 0.3333 0.6667 0.1667
Tl3 0.6667 0.3333 0.8333
Pt1 0.0000 0.0000 0.2562
Pt2 0.0000 0.0000 0.7438
Pt3 0.3333 0.6667 0.4105
Pt4 0.3333 0.6667 0.9229
Pt5 0.6667 0.3333 0.0771
Pt6 0.6667 0.3333 0.5895

The calculation puts the energy relative to the elements at -0.47 eV per atom. Its crystal system is trigonal.

---

4.
VASP calculation (PBE) on Ta4Ni4Ir5 after structural relaxation.

Lattice parameters (Å, degrees): 7.2563 7.2563 7.2563 94.11 94.11 148.96
Sites, in units of the cell vectors:
Ta1 0.1304 0.2419 0.3723
Ta2 0.2419 0.8696 0.1115
Ta3 0.7581 0.1304 0.8885
Ta4 0.8696 0.7581 0.6277
Ni1 0.0803 0.6069 0.6872
Ni2 0.3931 0.0803 0.4735
Ni3 0.6069 0.9197 0.5265
Ni4 0.9197 0.3931 0.3128
Ir1 0.0000 0.0000 0.0000
Ir2 0.3035 0.4465 0.7500
Ir3 0.4465 0.6965 0.1430
Ir4 0.5535 0.3035 0.8570
Ir5 0.6965 0.5535 0.2500

The calculation puts the energy relative to the elements at -0.47 eV per atom. Its crystal system is tetragonal.

---

5.
VASP calculation (PBE) on TmInRh4 after structural relaxation.

Lattice parameters (Å, degrees): 9.2582 3.8342 5.9804 90.00 109.05 90.00
Sites, in units of the cell vectors:
Tm1 0.0000 0.0000 0.0000
Tm2 0.5000 0.5000 0.0000
In1 0.0000 0.0000 0.5000
In2 0.5000 0.5000 0.5000
Rh1 0.1654 0.5000 0.3420
Rh2 0.1695 0.5000 0.8226
Rh3 0.3305 0.0000 0.1774
Rh4 0.3346 0.0000 0.6580
Rh5 0.6654 0.0000 0.3420
Rh6 0.6695 0.0000 0.8226
Rh7 0.8305 0.5000 0.1774
Rh8 0.8346 0.5000 0.6580

The calculation puts the energy relative to the elements at -0.33 eV per atom. Its crystal system is monoclinic. For the energy above the most stable polymorph in this dataset, the calculation gives 0.1627 eV per atom.

---

6.
VASP calculation (PBE) on LiScI2 after structural relaxation.

Lattice parameters (Å, degrees): 6.8657 6.8657 11.7056 90.00 90.00 90.00
Sites, in units of the cell vectors:
Li1 0.0000 0.0000 0.0000
Li2 0.0000 0.5000 0.2500
Li3 0.5000 0.0000 0.7500
Li4 0.5000 0.5000 0.5000
Sc1 0.0000 0.0000 0.5000
Sc2 0.0000 0.5000 0.7500
Sc3 0.5000 0.0000 0.2500
Sc4 0.5000 0.5000 0.0000
I1 0.2233 0.2500 0.1250
I2 0.2500 0.7233 0.3750
I3 0.2500 0.7767 0.8750
I4 0.2767 0.2500 0.6250
I5 0.7233 0.7500 0.6250
I6 0.7500 0.2233 0.8750
I7 0.7500 0.2767 0.3750
I8 0.7767 0.7500 0.1250

Its crystal system is tetragonal. For the energy above the most stable polymorph in this dataset, the calculation gives 0.1441 eV per atom. For the formation energy (no corrections), the calculation gives -568 meV per atom.

---

7.
VASP calculation (PBE) on Sm4TlHg2Au after structural relaxation.

Lattice parameters (Å, degrees): 9.2501 9.2501 9.2501 33.63 33.63 33.63
Sites, in units of the cell vectors:
Sm1 0.1192 0.1192 0.1192
Sm2 0.3699 0.3699 0.3699
Sm3 0.6301 0.6301 0.6301
Sm4 0.8808 0.8808 0.8808
Tl1 0.5000 0.5000 0.5000
Hg1 0.2448 0.2448 0.2448
Hg2 0.7552 0.7552 0.7552
Au1 0.0000 0.0000 0.0000

The calculation puts the energy relative to the elements at -0.52 eV per atom. Its crystal system is trigonal.

---

8.
VASP calculation (PBE) on Sr4Zn after structural relaxation.

Lattice parameters (Å, degrees): 8.3400 8.3400 7.8963 90.00 90.00 121.48
Sites, in units of the cell vectors:
Sr1 0.0339 0.2925 0.0605
Sr2 0.2075 0.4661 0.5605
Sr3 0.2925 0.0339 0.5605
Sr4 0.4661 0.2075 0.0605
Sr5 0.5339 0.7925 0.9395
Sr6 0.7075 0.9661 0.4395
Sr7 0.7925 0.5339 0.4395
Sr8 0.9661 0.7075 0.9395
Zn1 0.2500 0.7500 0.2500
Zn2 0.7500 0.2500 0.7500

The calculation puts the energy relative to the elements at 0.00 eV per atom. Its crystal system is orthorhombic. For the energy above the most stable polymorph in this dataset, the calculation gives 0.0773 eV per atom.

---

9.
VASP calculation (PBE) on Er2FeB2Ru5 after structural relaxation.

Lattice parameters (Å, degrees): 9.4985 9.4985 3.0813 90.00 90.00 90.00
Sites, in units of the cell vectors:
Er1 0.1756 0.3244 0.0000
Er2 0.3244 0.8244 0.0000
Er3 0.6756 0.1756 0.0000
Er4 0.8244 0.6756 0.0000
Fe1 0.0000 0.0000 0.0000
Fe2 0.5000 0.5000 0.0000
B1 0.1231 0.6231 0.0000
B2 0.3769 0.1231 0.0000
B3 0.6231 0.8769 0.0000
B4 0.8769 0.3769 0.0000
Ru1 0.0000 0.5000 0.5000
Ru2 0.0697 0.7862 0.5000
Ru3 0.2138 0.0697 0.5000
Ru4 0.2862 0.5697 0.5000
Ru5 0.4303 0.2862 0.5000
Ru6 0.5000 0.0000 0.5000
Ru7 0.5697 0.7138 0.5000
Ru8 0.7138 0.4303 0.5000
Ru9 0.7862 0.9303 0.5000
Ru10 0.9303 0.2138 0.5000

The calculation puts the energy relative to the elements at -0.38 eV per atom. Its crystal system is tetragonal.

---

10.
VASP calculation (PBE) on Y12Ho2Sc after structural relaxation.

Lattice parameters (Å, degrees): 6.4260 6.4260 24.7365 90.00 90.00 90.00
Sites, in units of the cell vectors:
Y1 0.0641 0.5641 0.1096
Y2 0.0641 0.9359 0.8904
Y3 0.0813 0.5813 0.4378
Y4 0.0813 0.9187 0.5622
Y5 0.2500 0.2500 0.2114
Y6 0.2500 0.2500 0.3365
Y7 0.2500 0.2500 0.6635
Y8 0.2500 0.2500 0.7886
Y9 0.4187 0.5813 0.5622
Y10 0.4187 0.9187 0.4378
Y11 0.4359 0.5641 0.8904
Y12 0.4359 0.9359 0.1096
Y13 0.5641 0.0641 0.8904
Y14 0.5641 0.4359 0.1096
Y15 0.5813 0.0813 0.5622
Y16 0.5813 0.4187 0.4378
Y17 0.7500 0.7500 0.2114
Y18 0.7500 0.7500 0.3365
Y19 0.7500 0.7500 0.6635
Y20 0.7500 0.7500 0.7886
Y21 0.9187 0.0813 0.4378
Y22 0.9187 0.4187 0.5622
Y23 0.9359 0.0641 0.1096
Y24 0.9359 0.4359 0.8904
Ho1 0.2500 0.7500 0.2712
Ho2 0.2500 0.7500 0.7288
Ho3 0.7500 0.2500 0.2712
Ho4 0.7500 0.2500 0.7288
Sc1 0.2500 0.7500 0.0000
Sc2 0.7500 0.2500 0.0000

The calculation puts the energy relative to the elements at 0.37 eV per atom. Its crystal system is tetragonal.

---

11.
VASP calculation (PBE) on Er2Be4AlPt3 after structural relaxation.

Lattice parameters (Å, degrees): 3.8489 3.8489 10.2862 90.00 90.00 90.00
Sites, in units of the cell vectors:
Er1 0.0000 0.5000 0.2459
Er2 0.5000 0.0000 0.7541
Be1 0.0000 0.0000 0.0000
Be2 0.0000 0.5000 0.6437
Be3 0.5000 0.0000 0.3563
Be4 0.5000 0.5000 0.0000
Al1 0.0000 0.0000 0.5000
Pt1 0.0000 0.5000 0.8736
Pt2 0.5000 0.0000 0.1264
Pt3 0.5000 0.5000 0.5000

The calculation puts the energy relative to the elements at -0.78 eV per atom. Its crystal system is tetragonal.

---

12.
VASP calculation (PBE) on Pr3Y2Ag2 after structural relaxation.

Lattice parameters (Å, degrees): 4.8925 23.6962 3.5235 90.00 90.00 90.00
Sites, in units of the cell vectors:
Pr1 0.0000 0.0000 0.0000
Pr2 0.0000 0.1385 0.0000
Pr3 0.0000 0.8615 0.0000
Pr4 0.5000 0.3615 0.0000
Pr5 0.5000 0.5000 0.0000
Pr6 0.5000 0.6385 0.0000
Y1 0.0000 0.2923 0.5000
Y2 0.0000 0.7077 0.5000
Y3 0.5000 0.2077 0.5000
Y4 0.5000 0.7923 0.5000
Ag1 0.0000 0.4294 0.5000
Ag2 0.0000 0.5706 0.5000
Ag3 0.5000 0.0706 0.5000
Ag4 0.5000 0.9294 0.5000

The calculation puts the energy relative to the elements at 0.05 eV per atom. Its crystal system is orthorhombic. For the energy above the most stable polymorph in this dataset, the calculation gives 0.1643 eV per atom.

---

Number 1: Fermi-level density of states 10.93 states/eV per cell. Number 2: Fermi-level density of states 9.08 states/eV per cell. Number 3: Fermi-level density of states 4.70 states/eV per cell. Number 4: Fermi-level density of states 9.03 states/eV per cell. Number 5: Fermi-level density of states 21.87 states/eV per cell. Number 6: Fermi-level density of states 5.86 states/eV per cell. Number 7: Fermi-level density of states 9.02 states/eV per cell. Number 8: Fermi-level density of states 12.64 states/eV per cell. Number 9: Fermi-level density of states 15.90 states/eV per cell. Number 10: Fermi-level density of states 46.42 states/eV per cell. Number 11: Fermi-level density of states 4.96 states/eV per cell. Number 12: Fermi-level density of states 16.23 states/eV per cell.